(1)
LaFe2Cl, relaxed, DFT PBE-GGA; space-group type = No. 44; calculated total energy = -23.52 eV per cell; energy relative to the elements, uncorrected = 0.044 eV per atom; E above lowest polymorph = 0.254 eV per atom
1.0
-4.383 -1.941 -1.137
-1.176 -0.668 4.737
0.929 4.022 -2.689
Fe Cl La
2 1 1
Direct
0.998 0.998 0.000
0.818 0.318 0.500
0.183 0.683 0.500
0.500 0.500 0.000

(2)
In2HgSe, relaxed, DFT PBE-GGA; space-group type = No. 12; calculated total energy = -10.26 eV per cell; energy relative to the elements, uncorrected = -0.250 eV per atom; E above lowest polymorph = 0.000 eV per atom
1.0
-3.035 -2.253 1.528
0.709 -3.813 1.259
0.830 0.627 7.899
Hg In Se
1 2 1
Direct
0.250 0.250 0.250
0.005 0.005 0.985
0.495 0.495 0.515
0.750 0.750 0.750

(3)
Cr2GaC, relaxed, DFT PBE-GGA; space-group type = No. 12; calculated total energy = -31.89 eV per cell; E above lowest polymorph = 0.049 eV per atom
1.0
-0.942 -0.261 2.711
2.786 -0.439 -0.606
-0.375 6.550 0.501
Ga Cr C
1 2 1
Direct
0.500 0.500 0.000
0.722 0.945 0.665
0.278 0.055 0.335
0.000 0.500 0.500

- What is the formula in the third record?
  Cr2GaC